This record from Alexandria describes a relaxed structure of Ni7GePt4. The functional is GGA-PBE.

Properties
For the volume, the calculation gives 154.9 Å³/f.u. The value obtained for the calculated total energy is -5.869 eV/atom. The formation enthalpy at 0 K is -0.10 eV/atom.

a = 8.9939 Å, b = 2.7297 Å, c = 13.4167 Å
α = 90.00°, β = 70.19°, γ = 90.00°
Sites, in units of the cell vectors:
Pt 0.0472 0.7500 0.8039
Pt 0.5472 0.2500 0.3039
Pt 0.6637 0.7501 0.6788
Pt 0.1375 0.2500 0.4492
Pt 0.2265 0.2500 0.6269
Pt 0.7264 0.7500 0.1269
Pt 0.1637 0.2499 0.1788
Pt 0.6375 0.7500 0.9492
Ni 0.9899 0.7500 0.3460
Ni 0.9710 0.7499 0.6219
Ni 0.5333 0.2501 0.5636
Ni 0.3607 0.7501 0.7414
Ni 0.8607 0.2499 0.2414
Ni 0.4710 0.2501 0.1219
Ni 0.3085 0.7500 0.2826
Ni 0.8085 0.2500 0.7826
Ni 0.3838 0.7500 0.4662
Ni 0.0333 0.7499 0.0636
Ni 0.8838 0.2500 0.9662
Ni 0.8333 0.2499 0.5100
Ni 0.4899 0.2500 0.8460
Ni 0.3333 0.7501 0.0100
Ge 0.1994 0.2501 0.9096
Ge 0.6994 0.7499 0.4096